The following is a SCAN calculation of Si2RuCl at its PBEsol-relaxed geometry, from Alexandria via LeMat-Bulk.

Structure (POSCAR):
```
Si2RuCl
1.0
2.924 0.000 0.000
0.000 2.924 0.000
0.000 0.000 6.945
Cl Ru Si
1 1 2
Direct
0.500 0.500 0.000
0.500 0.500 0.500
0.000 0.000 0.709
0.000 0.000 0.291
```

Summary:
The calculation puts the formation energy without anion corrections at 0.017 eV/atom.

=====

The following is a SCAN calculation of SiRuCl at its PBEsol-relaxed geometry, from Alexandria via LeMat-Bulk.

Structure (POSCAR):
```
SiRuCl
1.0
2.988 0.009 0.000
-1.453 2.611 0.000
-0.768 -1.310 5.808
Cl Ru Si
1 1 1
Direct
0.002 0.002 0.003
0.321 0.321 0.643
0.677 0.677 0.354
```

Summary:
The calculation puts the formation energy without anion corrections at 0.256 eV/atom.

=====

The following is a SCAN calculation of SnRu3Cl at its PBEsol-relaxed geometry, from Alexandria via LeMat-Bulk.

Structure (POSCAR):
```
SnRu3Cl
1.0
4.335 0.000 0.000
0.000 4.335 0.000
0.000 0.000 4.335
Cl Ru Sn
1 3 1
Direct
0.000 0.000 0.000
0.000 0.500 0.000
0.000 0.000 0.500
0.500 0.000 0.000
0.500 0.500 0.500
```

Summary:
The calculation puts the formation energy without anion corrections at 1.095 eV/atom.

=====

The following is a SCAN calculation of SnRuCl3 at its PBEsol-relaxed geometry, from Alexandria via LeMat-Bulk.

Structure (POSCAR):
```
SnRuCl3
1.0
-3.296 -1.638 2.924
-0.322 -3.927 -2.563
3.336 -1.997 2.642
Cl Ru Sn
3 1 1
Direct
0.000 0.000 0.500
0.500 0.000 0.000
0.000 0.500 0.000
0.000 0.000 0.000
0.500 0.500 0.500
```

Summary:
The calculation puts the formation energy without anion corrections at -0.163 eV/atom.

=====

The following is a SCAN calculation of Sr3RuCl at its PBEsol-relaxed geometry, from Alexandria via LeMat-Bulk.

Structure (POSCAR):
```
Sr3RuCl
1.0
-1.426 0.937 5.391
-4.696 -3.070 -0.708
2.810 -4.655 1.553
Sr Cl Ru
3 1 1
Direct
0.000 0.500 0.000
0.500 0.000 0.000
0.000 0.000 0.500
0.500 0.500 0.500
0.000 0.000 0.000
```

Summary:
The calculation puts the formation energy without anion corrections at -0.219 eV/atom.

=====

The following is a SCAN calculation of Sr2RuCl at its PBEsol-relaxed geometry, from Alexandria via LeMat-Bulk.

Structure (POSCAR):
```
Sr2RuCl
1.0
-0.181 -3.212 0.776
2.799 0.913 4.467
-4.549 0.893 2.669
Cl Ru Sr
1 1 2
Direct
0.500 0.500 0.500
0.500 0.000 0.000
0.000 0.500 0.000
0.000 0.000 0.500
```

Summary:
The calculation puts the formation energy without anion corrections at -0.507 eV/atom. Its polymorph energy (0 for the lowest one) is 0 meV per atom.

=====

The following is a SCAN calculation of Sr2RuCl at its PBEsol-relaxed geometry, from Alexandria via LeMat-Bulk.

Structure (POSCAR):
```
Sr2RuCl
1.0
4.150 0.000 0.000
0.000 4.150 0.000
-2.075 -2.075 6.099
Ru Sr Cl
1 2 1
Direct
0.250 0.750 0.500
0.750 0.250 0.500
0.000 0.000 0.000
0.500 0.500 0.000
```

Summary:
The calculation puts the formation energy without anion corrections at -0.206 eV/atom. Its polymorph energy (0 for the lowest one) is 301 meV per atom.

=====

The following is a SCAN calculation of TaRuCl4 at its PBEsol-relaxed geometry, from Alexandria via LeMat-Bulk.

Structure (POSCAR):
```
TaRuCl4
1.0
-0.666 -3.857 -3.617
4.181 -2.876 -1.630
0.444 -5.111 1.443
Ru Ta Cl
1 1 4
Direct
0.750 0.750 0.750
0.000 0.000 0.000
0.375 0.375 0.375
0.375 0.875 0.375
0.375 0.375 0.875
0.875 0.375 0.375
```

Summary:
The calculation puts the formation energy without anion corrections at 1.479 eV/atom.

=====

The following is a SCAN calculation of TaRuCl2 at its PBEsol-relaxed geometry, from Alexandria via LeMat-Bulk.

Structure (POSCAR):
```
TaRuCl2
1.0
3.323 0.003 0.000
-0.051 4.514 0.000
-1.636 -2.258 4.250
Cl Ta Ru
2 1 1
Direct
0.000 0.000 0.500
0.500 0.500 0.500
0.500 0.500 0.000
0.000 0.000 0.000
```

Summary:
The calculation puts the formation energy without anion corrections at 0.317 eV/atom. Its polymorph energy (0 for the lowest one) is 468 meV per atom.

=====

The following is a SCAN calculation of TaRu2Cl at its PBEsol-relaxed geometry, from Alexandria via LeMat-Bulk.

Structure (POSCAR):
```
TaRu2Cl
1.0
2.904 -0.006 0.000
-1.228 2.631 0.000
0.000 0.000 8.184
Cl Ru Ta
1 2 1
Direct
0.500 0.500 0.000
0.000 0.000 0.743
0.000 0.000 0.257
0.500 0.500 0.500
```

Summary:
The calculation puts the formation energy without anion corrections at 0.223 eV/atom. Its polymorph energy (0 for the lowest one) is 146 meV per atom.

=====

The following is a SCAN calculation of TaRu2Cl at its PBEsol-relaxed geometry, from Alexandria via LeMat-Bulk.

Structure (POSCAR):
```
TaRu2Cl
1.0
2.993 0.000 0.000
0.000 4.459 0.000
0.000 0.000 4.459
Ru Cl Ta
2 1 1
Direct
0.000 0.000 0.500
0.000 0.500 0.000
0.500 0.000 0.000
0.500 0.500 0.500
```

Summary:
The calculation puts the formation energy without anion corrections at 0.627 eV/atom. Its polymorph energy (0 for the lowest one) is 550 meV per atom.

=====

The following is a SCAN calculation of TaRu2Cl at its PBEsol-relaxed geometry, from Alexandria via LeMat-Bulk.

Structure (POSCAR):
```
TaRu2Cl
1.0
2.874 0.000 0.000
0.000 4.377 0.000
0.000 0.000 4.600
Ru Cl Ta
2 1 1
Direct
0.500 0.000 0.500
0.000 0.000 0.000
0.000 0.500 0.500
0.500 0.500 0.000
```

Summary:
The calculation puts the formation energy without anion corrections at 0.478 eV/atom. Its polymorph energy (0 for the lowest one) is 401 meV per atom.

=====

The following is a SCAN calculation of TaRuCl2 at its PBEsol-relaxed geometry, from Alexandria via LeMat-Bulk.

Structure (POSCAR):
```
TaRuCl2
1.0
3.057 0.000 0.000
0.000 4.181 0.000
-1.529 -2.090 6.610
Ta Ru Cl
1 1 2
Direct
0.500 0.000 0.000
0.000 0.500 0.000
0.152 0.152 0.303
0.848 0.848 0.697
```

Summary:
The calculation puts the formation energy without anion corrections at -0.151 eV/atom. Its polymorph energy (0 for the lowest one) is 0 meV per atom.

=====

The following is a SCAN calculation of TaRu2Cl at its PBEsol-relaxed geometry, from Alexandria via LeMat-Bulk.

Structure (POSCAR):
```
TaRu2Cl
1.0
-2.794 -0.435 -1.021
-2.175 -0.857 1.890
-3.396 7.256 1.774
Ru Cl Ta
2 1 1
Direct
0.247 0.247 0.259
0.753 0.753 0.741
0.000 0.000 0.000
0.500 0.500 0.500
```

Summary:
The calculation puts the formation energy without anion corrections at 0.077 eV/atom. Its polymorph energy (0 for the lowest one) is 0 meV per atom.

=====

The following is a SCAN calculation of TcRuCl at its PBEsol-relaxed geometry, from Alexandria via LeMat-Bulk.

Structure (POSCAR):
```
TcRuCl
1.0
-2.625 -0.509 -1.118
1.608 -2.656 -2.566
-1.302 -1.222 3.611
Tc Ru Cl
1 1 1
Direct
0.233 0.333 0.667
0.719 0.667 0.333
0.048 0.000 0.000
```

Summary:
The calculation puts the formation energy without anion corrections at 0.676 eV/atom. Its polymorph energy (0 for the lowest one) is 0 meV per atom.

=====

The following is a SCAN calculation of TcRuCl at its PBEsol-relaxed geometry, from Alexandria via LeMat-Bulk.

Structure (POSCAR):
```
TcRuCl
1.0
3.922 0.000 0.000
1.961 3.397 0.000
1.961 1.132 3.203
Tc Ru Cl
1 1 1
Direct
0.500 0.500 0.500
0.000 0.000 0.000
0.250 0.250 0.250
```

Summary:
The calculation puts the formation energy without anion corrections at 1.377 eV/atom. Its polymorph energy (0 for the lowest one) is 701 meV per atom.

=====

The following is a SCAN calculation of TcRu3Cl at its PBEsol-relaxed geometry, from Alexandria via LeMat-Bulk.

Structure (POSCAR):
```
TcRu3Cl
1.0
-3.507 -0.806 -2.908
-1.407 -3.507 2.669
-2.669 2.908 2.413
Ru Tc Cl
3 1 1
Direct
0.000 0.000 0.500
0.500 0.000 0.000
0.000 0.500 0.000
0.000 0.000 0.000
0.500 0.500 0.500
```

Summary:
The calculation puts the formation energy without anion corrections at 1.715 eV/atom.

=====

The following is a SCAN calculation of TlTc2RuCl at its PBEsol-relaxed geometry, from Alexandria via LeMat-Bulk.

Structure (POSCAR):
```
TlTc2RuCl
1.0
-2.105 -0.921 4.027
-3.967 -0.809 -2.258
1.321 -5.129 -0.482
Tc Cl Ru Tl
2 1 1 1
Direct
0.500 0.000 0.000
0.000 0.500 0.000
0.500 0.500 0.500
0.000 0.000 0.000
0.000 0.000 0.500
```

Summary:
The calculation puts the formation energy without anion corrections at 1.170 eV/atom.

=====

The following is a SCAN calculation of Te8RuCl2 at its PBEsol-relaxed geometry, from Alexandria via LeMat-Bulk.

Structure (POSCAR):
```
Te8RuCl2
1.0
8.411 0.058 -0.038
-3.596 7.604 -0.038
-2.215 -3.524 9.721
Te Ru Cl
16 2 4
Direct
0.902 0.215 0.144
0.502 0.209 0.869
0.980 0.751 0.289
0.705 0.744 0.527
0.498 0.791 0.131
0.256 0.295 0.973
0.785 0.098 0.356
0.249 0.020 0.211
0.751 0.980 0.789
0.295 0.256 0.473
0.791 0.498 0.631
0.215 0.902 0.644
0.744 0.705 0.027
0.020 0.249 0.711
0.209 0.502 0.369
0.098 0.785 0.856
0.000 0.000 0.000
0.000 0.000 0.500
0.000 0.500 0.000
0.588 0.412 0.250
0.500 0.000 0.500
0.412 0.588 0.750
```

Summary:
The calculation puts the formation energy without anion corrections at -0.258 eV/atom.

=====

The following is a SCAN calculation of TeRuCl2 at its PBEsol-relaxed geometry, from Alexandria via LeMat-Bulk.

Structure (POSCAR):
```
TeRuCl2
1.0
3.845 0.003 -0.034
1.922 3.330 -0.034
0.092 0.053 7.708
Cl Te Ru
2 1 1
Direct
0.877 0.877 0.029
0.207 0.207 0.655
0.875 0.875 0.336
0.541 0.541 0.480
```

Summary:
The calculation puts the formation energy without anion corrections at -0.452 eV/atom. Its polymorph energy (0 for the lowest one) is 0 meV per atom.

=====

The following is a SCAN calculation of TeRuCl2 at its PBEsol-relaxed geometry, from Alexandria via LeMat-Bulk.

Structure (POSCAR):
```
TeRuCl2
1.0
-1.773 -2.582 -1.952
3.737 -2.764 0.261
-3.275 -1.151 4.497
Ru Cl Te
1 2 1
Direct
0.000 0.505 0.967
0.500 0.626 0.301
0.000 0.033 0.065
0.500 0.336 0.668
```

Summary:
The calculation puts the formation energy without anion corrections at -0.361 eV/atom. Its polymorph energy (0 for the lowest one) is 91 meV per atom.

=====

The following is a SCAN calculation of TlRu2Cl at its PBEsol-relaxed geometry, from Alexandria via LeMat-Bulk.

Structure (POSCAR):
```
TlRu2Cl
1.0
-3.666 -2.546 -0.849
0.423 -3.895 -2.300
-0.552 -3.971 2.137
Ru Cl Tl
2 1 1
Direct
0.000 0.000 0.000
0.250 0.250 0.250
0.500 0.500 0.500
0.750 0.750 0.750
```

Summary:
The calculation puts the formation energy without anion corrections at 1.030 eV/atom. Its polymorph energy (0 for the lowest one) is 82 meV per atom.

=====

The following is a SCAN calculation of TlRu2Cl at its PBEsol-relaxed geometry, from Alexandria via LeMat-Bulk.

Structure (POSCAR):
```
TlRu2Cl
1.0
3.045 0.000 0.000
0.000 3.045 0.000
0.000 0.000 6.663
Ru Tl Cl
2 1 1
Direct
0.000 0.000 0.282
0.000 0.000 0.718
0.500 0.500 0.000
0.500 0.500 0.500
```

Summary:
The calculation puts the formation energy without anion corrections at 0.948 eV/atom. Its polymorph energy (0 for the lowest one) is 0 meV per atom.

=====

The following is a SCAN calculation of RuW2Cl at its PBEsol-relaxed geometry, from Alexandria via LeMat-Bulk.

Structure (POSCAR):
```
RuW2Cl
1.0
-0.388 -2.526 -1.258
1.244 -1.293 2.212
-6.534 -0.640 3.302
W Cl Ru
2 1 1
Direct
0.000 0.000 0.987
0.500 0.500 0.263
0.000 0.000 0.490
0.500 0.500 0.760
```

Summary:
The calculation puts the formation energy without anion corrections at 0.466 eV/atom. Its polymorph energy (0 for the lowest one) is 0 meV per atom.

=====

The following is a SCAN calculation of Ru2WCl at its PBEsol-relaxed geometry, from Alexandria via LeMat-Bulk.

Structure (POSCAR):
```
Ru2WCl
1.0
2.808 -0.034 0.000
-1.236 2.521 0.000
0.000 0.000 8.453
Ru W Cl
2 1 1
Direct
0.000 0.000 0.747
0.000 0.000 0.253
0.500 0.500 0.500
0.500 0.500 0.000
```

Summary:
The calculation puts the formation energy without anion corrections at 0.521 eV/atom. Its polymorph energy (0 for the lowest one) is 0 meV per atom.

=====

The following is a SCAN calculation of Ru2WCl at its PBEsol-relaxed geometry, from Alexandria via LeMat-Bulk.

Structure (POSCAR):
```
Ru2WCl
1.0
-0.050 0.567 2.704
1.004 -2.516 0.546
7.192 2.773 -0.449
W Cl Ru
1 1 2
Direct
0.000 0.000 0.502
0.500 0.500 0.716
0.000 0.000 0.027
0.500 0.500 0.255
```

Summary:
The calculation puts the formation energy without anion corrections at 0.576 eV/atom. Its polymorph energy (0 for the lowest one) is 55 meV per atom.

=====

The following is a SCAN calculation of RuW2Cl at its PBEsol-relaxed geometry, from Alexandria via LeMat-Bulk.

Structure (POSCAR):
```
RuW2Cl
1.0
-1.367 -0.987 -3.375
-3.281 -0.946 1.606
0.915 4.879 0.311
W Cl Ru
2 1 1
Direct
0.000 0.000 0.000
0.750 0.250 0.500
0.500 0.500 0.000
0.250 0.750 0.500
```

Summary:
The calculation puts the formation energy without anion corrections at 1.319 eV/atom. Its polymorph energy (0 for the lowest one) is 852 meV per atom.

=====

The following is a SCAN calculation of RuW2Cl at its PBEsol-relaxed geometry, from Alexandria via LeMat-Bulk.

Structure (POSCAR):
```
RuW2Cl
1.0
2.800 0.000 0.000
0.000 4.895 -0.007
0.000 -2.189 4.378
W Cl Ru
2 1 1
Direct
0.000 0.500 0.000
0.000 0.000 0.500
0.500 0.000 0.000
0.500 0.500 0.500
```

Summary:
The calculation puts the formation energy without anion corrections at 1.130 eV/atom. Its polymorph energy (0 for the lowest one) is 663 meV per atom.

=====

The following is a SCAN calculation of RuW2Cl at its PBEsol-relaxed geometry, from Alexandria via LeMat-Bulk.

Structure (POSCAR):
```
RuW2Cl
1.0
-0.651 0.633 -2.752
0.186 -4.338 -1.042
-4.121 1.441 2.832
W Ru Cl
2 1 1
Direct
0.228 0.228 0.456
0.772 0.772 0.544
0.000 0.500 0.000
0.500 0.000 0.000
```

Summary:
The calculation puts the formation energy without anion corrections at 0.851 eV/atom. Its polymorph energy (0 for the lowest one) is 385 meV per atom.

=====

Number 1: V 59 Å³ per cell. Number 2: V 45 Å³ per cell. Number 3: V 81 Å³ per cell. Number 4: V 104 Å³ per cell. Number 5: V 181 Å³ per cell. Number 6: V 95 Å³ per cell. Number 7: V 105 Å³ per cell. Number 8: V 107 Å³ per cell. Number 9: V 64 Å³ per cell. Number 10: V 62 Å³ per cell. Number 11: V 60 Å³ per cell. Number 12: V 58 Å³ per cell. Number 13: V 84 Å³ per cell. Number 14: V 63 Å³ per cell. Number 15: V 41 Å³ per cell. Number 16: V 43 Å³ per cell. Number 17: V 99 Å³ per cell. Number 18: V 114 Å³ per cell. Number 19: V 622 Å³ per cell. Number 20: V 99 Å³ per cell. Number 21: V 93 Å³ per cell. Number 22: V 66 Å³ per cell. Number 23: V 62 Å³ per cell. Number 24: V 60 Å³ per cell. Number 25: V 59 Å³ per cell. Number 26: V 59 Å³ per cell. Number 27: V 60 Å³ per cell. Number 28: V 60 Å³ per cell. Number 29: V 58 Å³ per cell.